No. 1
The following is a DFT calculation (PBE) of a geometry-optimized TaBeNi2 structure.

Cell and atoms, written as POSCAR:
```
TaBeNi2
1.0
4.4882 0.0290 -0.0202
3.6528 2.6080 -0.0202
1.0121 0.3278 4.2327
Ni Be Ta
2 1 1
Cartesian
8.1152 2.6286 0.1156
6.7967 2.2015 3.1571
2.3492 0.7609 0.7686
4.6098 1.4932 2.2068
```

Formation energy = -0.1254 eV/atom
Density = 10382 kg/m3
Size of the total moment = 0.0 μB per formula unit
Final energy = -27.64 eV/cell



No. 2
The following is a DFT calculation (PBE) of a geometry-optimized HgOs2Pt2 structure.

Cell and atoms, written as POSCAR:
```
HgOs2Pt2
1.0
3.8966 0.0000 0.0000
0.0000 3.8966 0.0000
1.9483 1.9483 5.9039
Os Hg Pt
2 1 2
Cartesian
1.9483 1.9483 1.1735
3.8966 3.8966 4.7304
0.0000 0.0000 0.0000
3.8966 1.9483 2.9520
1.9483 3.8966 2.9520
```

Formation energy = 0.6391 eV/atom
Density = 17991 kg/m3
Size of the total moment = 0.0 μB per formula unit
Final energy = -31.65 eV/cell
Energy above the lowest structure with this stoichiometry = 11.1 kJ per mole of atoms



No. 3
The following is a DFT calculation (PBE) of a geometry-optimized Li2PuAgO4 structure.

Cell and atoms, written as POSCAR:
```
Li2PuAgO4
1.0
3.5730 0.0000 0.0000
0.0000 5.8228 1.6762
0.0000 -0.5626 5.3306
Li Pu Ag O
2 1 1 4
Cartesian
1.7865 -0.2813 2.6653
0.0000 2.6301 3.5034
1.7865 2.9114 0.8381
0.0000 0.0000 0.0000
1.7865 1.5634 2.2665
1.7865 3.6968 4.7404
0.0000 1.4659 5.0683
0.0000 3.7943 1.9385
```

Density = 6245 kg/m3
Size of the total moment = 3.0 μB per formula unit
Final energy = -56.35 eV/cell
Formation energy (no corrections) = -1.9385 eV per atom



No. 4
The following is a DFT calculation (PBE) of a geometry-optimized MgInH2 structure.

Cell and atoms, written as POSCAR:
```
MgInH2
1.0
3.0131 0.0003 0.0011
1.4894 4.7081 -0.0047
1.4782 1.9253 8.6340
Mg In H
2 2 4
Cartesian
2.2469 4.6915 1.3158
3.7338 1.9421 7.3147
3.7342 2.2516 3.4639
2.2465 4.3820 5.1665
2.2284 3.0530 6.6824
3.7523 3.5806 1.9480
3.7196 5.7283 8.1690
2.2610 0.9053 0.4614
```

Density = 3826 kg/m3
Size of the total moment = 0.0 μB per formula unit
Final energy = -21.99 eV/cell
Energy above the lowest structure with this stoichiometry = 5.9 kJ per mole of atoms



Question: Among the records above, which one has the lowest final energy?
Answer: Li2PuAgO4



Question: What is the formula in the second record?
Answer: HgOs2Pt2



Question: Look up the size of the total moment of the third one.
Answer: 3.0 μB per formula unit